First-principles (PBE) data for ThInPd2 after structural relaxation, as listed in Alexandria via LeMat-Bulk.

**Formation energy**: -0.585 eV per atom

Cell and atoms, written as POSCAR:
```
ThInPd2
1.0
3.4080 0.0000 0.0000
0.0000 3.4080 0.0000
0.0000 0.0000 7.1918
Th In Pd
1 1 2
Direct
0.0000 0.0000 0.0000 Th
0.0000 0.0000 0.5000 In
0.5000 0.5000 0.2815 Pd
0.5000 0.5000 0.7185 Pd
```

First-principles (PBE) data for CeEr2Co2 after structural relaxation, as listed in Alexandria via LeMat-Bulk.

**Formation energy**: -0.253 eV per atom

Cell and atoms, written as POSCAR:
```
CeEr2Co2
1.0
5.1699 -2.9760 0.0000
5.1699 2.9760 0.0000
-1.2394 0.0000 6.8713
Ce Er Co
2 4 4
Direct
0.0823 0.9177 0.7500 Ce
0.9177 0.0823 0.2500 Ce
0.2383 0.4534 0.3499 Er
0.4534 0.2383 0.8499 Er
0.5466 0.7617 0.1501 Er
0.7617 0.5466 0.6501 Er
0.0015 0.3035 0.0121 Co
0.3035 0.0015 0.5121 Co
0.6965 0.9985 0.4879 Co
0.9985 0.6965 0.9879 Co
```

First-principles (PBE) data for CaBPd2Rh after structural relaxation, as listed in Alexandria via LeMat-Bulk.

**Formation energy**: -0.594 eV per atom

Cell and atoms, written as POSCAR:
```
CaBPd2Rh
1.0
4.3013 0.0000 0.0000
0.0000 4.3013 0.0000
0.0000 0.0000 4.1807
Ca B Pd Rh
1 1 2 1
Direct
0.0000 0.0000 0.0000 Ca
0.5000 0.5000 0.5000 B
0.0000 0.5000 0.5000 Pd
0.5000 0.0000 0.5000 Pd
0.5000 0.5000 0.0000 Rh
```

First-principles (PBE) data for Be2AlFe5Tc2 after structural relaxation, as listed in Alexandria via LeMat-Bulk.

**Formation energy**: -0.026 eV per atom

Cell and atoms, written as POSCAR:
```
Be2AlFe5Tc2
1.0
8.7016 0.0000 0.0000
0.0000 8.7016 0.0000
0.0000 0.0000 2.8381
Be Al Fe Tc
4 2 10 4
Direct
0.1232 0.3768 0.0000 Be
0.3768 0.8768 0.0000 Be
0.6232 0.1232 0.0000 Be
0.8768 0.6232 0.0000 Be
0.0000 0.0000 0.0000 Al
0.5000 0.5000 0.0000 Al
0.0000 0.5000 0.5000 Fe
0.0612 0.2113 0.5000 Fe
0.2113 0.9388 0.5000 Fe
0.2887 0.4388 0.5000 Fe
0.4388 0.7113 0.5000 Fe
0.5000 0.0000 0.5000 Fe
0.5612 0.2887 0.5000 Fe
0.7113 0.5612 0.5000 Fe
0.7887 0.0612 0.5000 Fe
0.9388 0.7887 0.5000 Fe
0.1772 0.6772 0.0000 Tc
0.3228 0.1772 0.0000 Tc
0.6772 0.8228 0.0000 Tc
0.8228 0.3228 0.0000 Tc
```

First-principles (PBE) data for PrNd2DyTm2 after structural relaxation, as listed in Alexandria via LeMat-Bulk.

**Formation energy**: 0.067 eV per atom

Cell and atoms, written as POSCAR:
```
PrNd2DyTm2
1.0
7.0446 0.0000 0.0000
0.0000 9.8703 0.0000
0.0000 0.0000 5.6775
Pr Nd Dy Tm
2 4 2 4
Direct
0.0000 0.0000 0.0000 Pr
0.5000 0.5000 0.5000 Pr
0.2476 0.3330 0.0000 Nd
0.2524 0.8330 0.5000 Nd
0.7476 0.1670 0.5000 Nd
0.7524 0.6670 0.0000 Nd
0.0000 0.5000 0.5000 Dy
0.5000 0.0000 0.0000 Dy
0.2500 0.1663 0.5000 Tm
0.2500 0.6663 0.0000 Tm
0.7500 0.3337 0.0000 Tm
0.7500 0.8337 0.5000 Tm
```

First-principles (PBE) data for Sb3RuCl after structural relaxation, as listed in Alexandria via LeMat-Bulk.

**E above lowest polymorph**: 0.000 eV/atom

Cell and atoms, written as POSCAR:
```
Sb3RuCl
1.0
5.1676 0.0000 0.0000
0.0000 5.1676 0.0000
0.0000 0.0000 5.1676
Sb Ru Cl
3 1 1
Direct
0.0000 0.0000 0.5000 Sb
0.0000 0.5000 0.0000 Sb
0.5000 0.0000 0.0000 Sb
0.0000 0.0000 0.0000 Ru
0.5000 0.5000 0.5000 Cl
```

First-principles (PBE) data for Pm3NdHo5 after structural relaxation, as listed in Alexandria via LeMat-Bulk.

**Formation energy**: 0.254 eV per atom
**E above lowest polymorph**: 0.000 eV/atom

Cell and atoms, written as POSCAR:
```
Pm3NdHo5
1.0
-4.3480 4.3480 7.7864
4.3480 -4.3480 7.7864
4.3480 4.3480 -7.7864
Pm Nd Ho
6 2 10
Direct
0.1174 0.6174 0.7348 Pm
0.2500 0.2500 0.0000 Pm
0.3826 0.1174 0.5000 Pm
0.6174 0.8826 0.5000 Pm
0.7500 0.7500 0.0000 Pm
0.8826 0.3826 0.2652 Pm
0.2500 0.7500 0.5000 Nd
0.7500 0.2500 0.5000 Nd
0.0000 0.0000 0.0000 Ho
0.0715 0.1549 0.5000 Ho
0.1549 0.6549 0.0834 Ho
0.3451 0.4285 0.5000 Ho
0.4285 0.9285 0.0834 Ho
0.5000 0.5000 0.0000 Ho
0.5715 0.0715 0.9166 Ho
0.6549 0.5715 0.5000 Ho
0.8451 0.3451 0.9166 Ho
0.9285 0.8451 0.5000 Ho
```

First-principles (PBE) data for KBe2GaCl6 after structural relaxation, as listed in Alexandria via LeMat-Bulk.

**Calculated total energy**: -72.7 eV/cell

Cell and atoms, written as POSCAR:
```
KBe2GaCl6
1.0
5.9625 -6.5069 0.0000
5.9625 6.5069 0.0000
-2.7386 0.0000 8.1493
K Be Ga Cl
2 4 2 12
Direct
0.1228 0.8772 0.7500 K
0.8772 0.1228 0.2500 K
0.0832 0.4126 0.7525 Be
0.4126 0.0832 0.2525 Be
0.5874 0.9168 0.7475 Be
0.9168 0.5874 0.2475 Be
0.4124 0.5876 0.2500 Ga
0.5876 0.4124 0.7500 Ga
0.0364 0.1978 0.6342 Cl
0.0767 0.4520 0.2560 Cl
0.1978 0.0364 0.1342 Cl
0.2943 0.5051 0.8749 Cl
0.4520 0.0767 0.7560 Cl
0.4949 0.7057 0.6251 Cl
0.5051 0.2943 0.3749 Cl
0.5480 0.9233 0.2440 Cl
0.7057 0.4949 0.1251 Cl
0.8022 0.9636 0.8658 Cl
0.9233 0.5480 0.7440 Cl
0.9636 0.8022 0.3658 Cl
```